Computed, not measured: a relaxed structure of NaTcH3 at the PBE-GGA level of DFT.

## Properties
- DOS(E_F) (states/eV/f.u.) = 3.7
- crystal system = cubic
- space group = Pm-3m (221)
- total energy (eV/atom) = -3.2429
- volume (A^3/atom) = 8.3
- magnetization (μB/cell) = 0.0

a = 3.460 Å, b = 3.460 Å, c = 3.460 Å
α = 90.00°, β = 90.00°, γ = 90.00°
Sites, in units of the cell vectors:
Na (0.000, 0.000, 0.000)
Tc (0.500, 0.500, 0.500)
H (0.000, 0.500, 0.000)
H (0.000, 0.000, 0.500)
H (0.500, 0.000, 0.000)